1.
VASP calculation (GGA-PBE) on Tb2Sm2Er after structural relaxation.

Calculated values
- ΔE_f (meV/atom) = 18
- symmetry = C2/c (15)
- ΔE to the lowest computed polymorph (meV per atom) = 0
- V (Å³/cell) = 327.7

Cell and atoms, written as extended XYZ:
```
10
Lattice="7.907 -3.151 0.000 7.907 3.151 0.000 -1.623 0.000 6.577" Properties=species:S:1:pos:R:3 pbc="T T T"
Tb 0.824 0.524 2.969
Tb 0.012 -0.524 6.258
Tb 14.178 0.524 0.319
Tb 13.366 -0.524 3.608
Sm 3.383 0.537 5.580
Sm 4.194 -0.537 2.291
Sm 9.996 0.537 4.286
Sm 10.807 -0.537 0.997
Er 7.501 0.523 1.644
Er 6.689 -0.523 4.933
```

***

2.
VASP calculation (GGA-PBE) on TbSm5Er after structural relaxation.

Calculated values
- ΔE_f (meV/atom) = 188
- symmetry = C2/m (12)
- ΔE to the lowest computed polymorph (meV per atom) = 0
- V (Å³/cell) = 241.1

Cell and atoms, written as extended XYZ:
```
7
Lattice="3.488 -5.188 0.000 3.488 5.188 0.000 -2.178 0.000 6.664" Properties=species:S:1:pos:R:3 pbc="T T T"
Tb 0.000 0.000 0.000
Sm -1.089 0.000 3.332
Sm 0.477 2.236 5.118
Sm 4.320 2.236 1.546
Sm 0.477 -2.236 5.118
Sm 4.320 -2.236 1.546
Er 2.399 0.000 3.332
```

***

3.
VASP calculation (GGA-PBE) on Tb8SmEr4 after structural relaxation.

Calculated values
- ΔE_f (meV/atom) = 200
- symmetry = R-3m (166)
- V (Å³/cell) = 415.4

Cell and atoms, written as extended XYZ:
```
13
Lattice="3.633 2.097 9.087 -3.633 2.097 9.087 0.000 -4.195 9.087" Properties=species:S:1:pos:R:3 pbc="T T T"
Tb -2.009 -1.160 15.434
Tb 0.000 0.000 5.922
Tb 0.000 -2.320 11.826
Tb -2.009 1.160 11.826
Tb 2.009 -1.160 15.434
Tb 0.000 2.320 15.434
Tb 0.000 0.000 21.339
Tb 2.009 1.160 11.826
Sm 0.000 0.000 13.630
Er 0.000 0.000 0.000
Er -1.816 -1.049 9.087
Er -1.816 1.049 18.174
Er 0.000 2.097 9.087
```